[1]
A geometry-optimized Dy5Tl2Ga2 structure. Source: Alexandria via LeMat-Bulk, functional PBE-GGA.

Geometry as CIF:
```
data_Dy5Tl2Ga2
_cell_length_a 16.141
_cell_length_b 7.793
_cell_length_c 7.698
_cell_angle_alpha 90.00
_cell_angle_beta 90.00
_cell_angle_gamma 90.00
_symmetry_space_group_name_H-M 'C m c e'
_symmetry_Int_Tables_number 64
_symmetry_space_group_name_Hall '-C 2ac 2'
loop_
_atom_site_label
_atom_site_type_symbol
_atom_site_fract_x
_atom_site_fract_y
_atom_site_fract_z
Dy1 Dy 0.000 0.000 0.000
Dy2 Dy 0.129 0.186 0.323
Tl1 Tl 0.221 0.000 0.000
Ga1 Ga 0.000 0.118 0.620
```

The total energy is -4.20 eV/atom.

=====

[2]
A geometry-optimized Fe2As2Rh structure. Source: Alexandria via LeMat-Bulk, functional PBE-GGA.

Geometry as CIF:
```
data_Fe2As2Rh
_cell_length_a 6.798
_cell_length_b 6.798
_cell_length_c 2.808
_cell_angle_alpha 90.00
_cell_angle_beta 90.00
_cell_angle_gamma 90.00
_symmetry_space_group_name_H-M 'P 4/m b m'
_symmetry_Int_Tables_number 127
_symmetry_space_group_name_Hall '-P 4 2ab'
loop_
_atom_site_label
_atom_site_type_symbol
_atom_site_fract_x
_atom_site_fract_y
_atom_site_fract_z
Fe1 Fe 0.140 0.360 0.000
As1 As 0.157 0.657 0.500
Rh1 Rh 0.000 0.000 0.500
```

The total energy is -6.71 eV/atom.

=====

[3]
A geometry-optimized PmNd8Er2 structure. Source: Alexandria via LeMat-Bulk, functional PBE-GGA.

Geometry as CIF:
```
data_PmNd8Er2
_cell_length_a 5.708
_cell_length_b 8.323
_cell_length_c 16.114
_cell_angle_alpha 90.00
_cell_angle_beta 90.00
_cell_angle_gamma 90.00
_symmetry_space_group_name_H-M 'I m m m'
_symmetry_Int_Tables_number 71
_symmetry_space_group_name_Hall '-I 2 2'
loop_
_atom_site_label
_atom_site_type_symbol
_atom_site_fract_x
_atom_site_fract_y
_atom_site_fract_z
Pm1 Pm 0.000 0.000 0.000
Nd1 Nd 0.000 0.206 0.500
Nd2 Nd 0.000 0.296 0.138
Nd3 Nd 0.000 0.500 0.336
Er1 Er 0.000 0.000 0.300
```

The total energy is -4.62 eV/atom. As for the energy above the most stable polymorph in this dataset: 0.000 eV per formula unit.

=====

[4]
A geometry-optimized Y2Er6Zr structure. Source: Alexandria via LeMat-Bulk, functional PBE-GGA.

Geometry as CIF:
```
data_Y2Er6Zr
_cell_length_a 6.501
_cell_length_b 8.173
_cell_length_c 11.214
_cell_angle_alpha 102.28
_cell_angle_beta 101.55
_cell_angle_gamma 103.63
_symmetry_space_group_name_H-M 'P -1'
_symmetry_Int_Tables_number 2
_symmetry_space_group_name_Hall '-P 1'
loop_
_atom_site_label
_atom_site_type_symbol
_atom_site_fract_x
_atom_site_fract_y
_atom_site_fract_z
Y1 Y 0.226 0.186 0.056
Y2 Y 0.254 0.852 0.811
Er1 Er 0.047 0.300 0.500
Er2 Er 0.096 0.943 0.305
Er3 Er 0.199 0.536 0.280
Er4 Er 0.294 0.759 0.077
Er5 Er 0.325 0.434 0.822
Er6 Er 0.484 0.692 0.595
Zr1 Zr 0.396 0.083 0.613
```

The total energy is -5.35 eV/atom.

=====

Repeat the first record exactly.
A geometry-optimized Dy5Tl2Ga2 structure. Source: Alexandria via LeMat-Bulk, functional PBE-GGA.

Geometry as CIF:
```
data_Dy5Tl2Ga2
_cell_length_a 16.141
_cell_length_b 7.793
_cell_length_c 7.698
_cell_angle_alpha 90.00
_cell_angle_beta 90.00
_cell_angle_gamma 90.00
_symmetry_space_group_name_H-M 'C m c e'
_symmetry_Int_Tables_number 64
_symmetry_space_group_name_Hall '-C 2ac 2'
loop_
_atom_site_label
_atom_site_type_symbol
_atom_site_fract_x
_atom_site_fract_y
_atom_site_fract_z
Dy1 Dy 0.000 0.000 0.000
Dy2 Dy 0.129 0.186 0.323
Tl1 Tl 0.221 0.000 0.000
Ga1 Ga 0.000 0.118 0.620
```

The total energy is -4.20 eV/atom.